Record 1
The following is a DFT calculation (GGA-PBEsol) of a relaxed ScMnP2O crystal.

Lattice parameters (Å, degrees): 5.0035 5.0035 3.7991 90.00 90.00 90.00
Last column: nearest neighbours and their distance in Å.
Space group P4/mmm (No. 123)
Symmetry-distinct sites (fractional):
Sc (0.0000, 0.0000, 0.0000) [1 per cell]  2 O 1.90
Mn (0.5000, 0.5000, 0.5000) [1 per cell]  8 P 3.14
P (0.0000, 0.5000, 0.0000) [2 per cell]  2 Sc 2.50
O (0.0000, 0.0000, 0.5000) [1 per cell]  2 Sc 1.90

uncorrected formation energy: -0.23 eV per formula unit
total DFT energy (no corrections): -33.424 eV/cell
magnetic moment: 3.61 μB/f.u.
D(E_F): 4.36 states/eV/cell


Record 2
The following is a DFT calculation (GGA-PBEsol) of a relaxed BaSrTl2 crystal.

Lattice parameters (Å, degrees): 4.0911 4.0911 8.2580 90.00 90.00 90.00
Last column: nearest neighbours and their distance in Å.
Space group P4/mmm (No. 123)
Symmetry-distinct sites (fractional):
Ba (0.0000, 0.0000, 0.0000) [1 per cell]  8 Tl 3.67, 4 Ba 4.09
Sr (0.0000, 0.0000, 0.5000) [1 per cell]  8 Tl 3.44
Tl (0.5000, 0.5000, 0.2742) [2 per cell]  4 Sr 3.44, 4 Ba 3.67, 1 Tl 3.73

total DFT energy (no corrections): -11.085 eV/cell
energy relative to the elements: -44 kJ per mole of atoms
magnetic moment: 0.00 μB/f.u.
D(E_F): 2.39 states/eV/cell


Record 3
The following is a DFT calculation (GGA-PBEsol) of a relaxed GaCI2N crystal.

Lattice parameters (Å, degrees): 5.6884 5.6884 3.5310 90.00 90.00 90.00
Last column: nearest neighbours and their distance in Å.
Space group P4/mmm (No. 123)
Symmetry-distinct sites (fractional):
Ga (0.0000, 0.0000, 0.0000) [1 per cell]  2 N 1.77
C (0.5000, 0.5000, 0.5000) [1 per cell]  8 I 3.35, 2 C 3.53
I (0.0000, 0.5000, 0.0000) [2 per cell]  2 Ga 2.84
N (0.0000, 0.0000, 0.5000) [1 per cell]  2 Ga 1.77

uncorrected formation energy: 9.10 eV per formula unit
total DFT energy (no corrections): -15.942 eV/cell
magnetic moment: 1.99 μB/f.u.
D(E_F): 5.34 states/eV/cell


Record 4
The following is a DFT calculation (GGA-PBEsol) of a relaxed Zn2TcMo crystal.

Lattice parameters (Å, degrees): 6.0782 6.0782 6.0782 90.00 90.00 90.00
Last column: nearest neighbours and their distance in Å.
Space group F-43m (No. 216)
Symmetry-distinct sites (fractional):
Zn (0.0000, 0.0000, 0.0000) [4 per cell]  4 Mo 2.63, 4 Zn 2.63
Zn (0.2500, 0.2500, 0.2500) [4 per cell]  4 Tc 2.63, 4 Zn 2.63
Tc (0.0000, 0.0000, 0.5000) [4 per cell]  4 Mo 2.63, 4 Zn 2.63
Mo (0.2500, 0.2500, 0.7500) [4 per cell]  4 Tc 2.63, 4 Zn 2.63

total DFT energy (no corrections): -102.718 eV/cell
energy relative to the elements: 13 kJ per mole of atoms
magnetic moment: 0.00 μB/f.u.
D(E_F): 10.93 states/eV/cell


Record 5
The following is a DFT calculation (GGA-PBEsol) of a relaxed BeOsBr2 crystal.

Lattice parameters (Å, degrees): 3.0037 5.6299 8.7810 90.00 90.00 90.00
Last column: nearest neighbours and their distance in Å.
Space group Cmm2 (No. 35)
Symmetry-distinct sites (fractional):
Be (0.0000, 0.0000, 0.0000) [2 per cell]  2 Br 2.16
Os (0.0000, 0.5000, 0.7808) [2 per cell]  2 Be 2.44, 2 Br 2.48
Br (0.0000, 0.0000, 0.5560) [2 per cell]  2 Os 2.48
Br (0.0000, 0.5000, 0.1770) [2 per cell]  2 Be 2.16

uncorrected formation energy: 2.03 eV per formula unit
total DFT energy (no corrections): -35.842 eV/cell
magnetic moment: 0.00 μB/f.u.
D(E_F): 5.56 states/eV/cell


Record 6
The following is a DFT calculation (GGA-PBEsol) of a relaxed Mg3CrN crystal.

Lattice parameters (Å, degrees): 4.3062 4.3062 4.3062 90.00 90.00 90.00
Last column: nearest neighbours and their distance in Å.
Space group Pm-3m (No. 221)
Symmetry-distinct sites (fractional):
Mg (0.0000, 0.0000, 0.5000) [3 per cell]  2 N 2.15
Cr (0.5000, 0.5000, 0.5000) [1 per cell]  12 Mg 3.04
N (0.0000, 0.0000, 0.0000) [1 per cell]  6 Mg 2.15

uncorrected formation energy: 0.47 eV per formula unit
total DFT energy (no corrections): -23.448 eV/cell
magnetic moment: 4.49 μB/f.u.
D(E_F): 2.99 states/eV/cell